Record 1
Er4SbTe2Pt: relaxed, GGA-PBE.

Lattice parameters (Å, degrees): 7.4136 4.2191 7.5999 90.00 108.90 90.00
With the nearest neighbours (Å) after each atom.
Space group P2/m (No. 10)
One atom of each set of equivalent atoms:
Er 0.2154 0.0000 0.2130 [2 per cell]  2 Pt 2.82, 1 Sb 3.05, 1 Te 3.09
Er 0.2411 0.5000 0.7683 [2 per cell]  1 Pt 2.89, 2 Sb 3.01, 3 Te 3.07-3.22
Sb 0.5000 0.0000 0.0000 [1 per cell]  6 Er 3.01-3.05
Te 0.0000 0.0000 0.5000 [1 per cell]  6 Er 3.07-3.09
Te 0.5000 0.5000 0.5000 [1 per cell]  6 Er 3.22-3.27
Pt 0.0000 0.5000 0.0000 [1 per cell]  6 Er 2.82-2.89

Calculated values
D(E_F) = 0.65 states/eV/atom
Density = 9.16 Mg/m³
Volume = 28.11 Å³/atom
Energy relative to the elements, uncorrected = -1.20 eV per atom

***

Record 2
Pr2CdBi: relaxed, GGA-PBE.

Lattice parameters (Å, degrees): 7.8709 7.8709 7.8709 90.00 90.00 90.00
With the nearest neighbours (Å) after each atom.
Space group Fm-3m (No. 225)
One atom of each set of equivalent atoms:
Pr 0.2500 0.2500 0.2500 [8 per cell]  4 Cd 3.41, 4 Bi 3.41
Cd 0.0000 0.0000 0.0000 [4 per cell]  8 Pr 3.41
Bi 0.0000 0.0000 0.5000 [4 per cell]  8 Pr 3.41

Calculated values
Energy of formation = -505 meV per atom
D(E_F) = 0.72 states/eV/atom
Density = 8.22 Mg/m³
Volume = 30.48 Å³/atom
ΔE to the lowest computed polymorph = 0.062 eV per atom

***

Record 3
Cs2SrSb2S6: relaxed, GGA-PBE.

Lattice parameters (Å, degrees): 13.2372 7.6330 9.0359 90.00 120.92 90.00
With the nearest neighbours (Å) after each atom.
Space group C2/m (No. 12)
One atom of each set of equivalent atoms:
Cs 0.2098 0.0000 0.2052 [4 per cell]  9 S 3.62-4.02
Sr 0.0000 0.0000 0.5000 [2 per cell]  6 S 3.00-3.01
Sb 0.0347 0.5000 0.1838 [4 per cell]  3 S 2.34-2.35
S 0.0548 0.2436 0.7941 [8 per cell]  1 Sb 2.35
S 0.2397 0.5000 0.3610 [4 per cell]  1 Sb 2.34

Calculated values
Density = 3.35 Mg/m³
Volume = 35.60 Å³/atom
Energy relative to the elements, uncorrected = -0.83 eV per atom

***

Record 4
Ce4NdTm: relaxed, GGA-PBE.

Lattice parameters (Å, degrees): 8.9586 8.9586 8.9586 90.00 90.00 90.00
With the nearest neighbours (Å) after each atom.
Space group F-43m (No. 216)
One atom of each set of equivalent atoms:
Ce 0.1200 0.1200 0.1200 [16 per cell]  6 Ce 3.04-3.29
Nd 0.0000 0.0000 0.5000 [4 per cell]  12 Ce 3.73, 4 Tm 3.88
Tm 0.2500 0.2500 0.7500 [4 per cell]  12 Ce 3.70, 4 Nd 3.88

Calculated values
Energy of formation = 204 meV per atom
D(E_F) = 3.11 states/eV/atom
Density = 8.07 Mg/m³
Volume = 29.96 Å³/atom

***

Record 5
NiHIr3: relaxed, GGA-PBE.

Lattice parameters (Å, degrees): 4.4865 4.4865 4.4865 90.00 90.00 90.00
With the nearest neighbours (Å) after each atom.
Space group Pm-3m (No. 221)
One atom of each set of equivalent atoms:
Ni 0.0000 0.0000 0.0000 [1 per cell]  6 Ir 2.24
H 0.5000 0.5000 0.5000 [1 per cell]  12 Ir 3.17
Ir 0.0000 0.0000 0.5000 [3 per cell]  2 Ni 2.24

Calculated values
D(E_F) = 1.46 states/eV/atom
Density = 11.70 Mg/m³
Volume = 18.06 Å³/atom
ΔE to the lowest computed polymorph = 1.989 eV per atom

***

Record 6
Zr2ZnCl: relaxed, GGA-PBE.

Lattice parameters (Å, degrees): 3.0957 5.5933 9.5064 90.00 90.00 90.00
With the nearest neighbours (Å) after each atom.
Space group Immm (No. 71)
One atom of each set of equivalent atoms:
Zr 0.0000 0.0000 0.2306 [4 per cell]  2 Cl 2.68, 2 Zn 2.99
Zn 0.0000 0.5000 0.0000 [2 per cell]  4 Zr 2.99, 2 Zn 3.10, 4 Cl 3.20
Cl 0.0000 0.5000 0.5000 [2 per cell]  4 Zr 2.68

Calculated values
D(E_F) = 0.80 states/eV/atom
Density = 5.72 Mg/m³
Volume = 20.58 Å³/atom
ΔE to the lowest computed polymorph = 0.251 eV per atom
Energy relative to the elements, uncorrected = -0.23 eV per atom

***

Record 7
P2IrPt: relaxed, GGA-PBE.

Lattice parameters (Å, degrees): 3.4559 3.4413 4.9820 90.00 90.16 90.00
With the nearest neighbours (Å) after each atom.
Space group Pm (No. 6)
One atom of each set of equivalent atoms:
P 0.0000 0.0000 0.0000 [1 per cell]  2 Ir 2.39-2.59, 4 Pt 2.51-2.52
P 0.4981 0.5000 0.6125 [1 per cell]  2 Pt 2.43-2.55, 4 Ir 2.52-2.53
Ir 0.9956 0.0000 0.4804 [1 per cell]  6 P 2.39-2.59
Pt 0.4984 0.5000 0.1241 [1 per cell]  6 P 2.43-2.55

Calculated values
Energy of formation = -183 meV per atom
D(E_F) = 0.41 states/eV/atom
Density = 12.59 Mg/m³
Volume = 14.81 Å³/atom
ΔE to the lowest computed polymorph = 0.203 eV per atom

***

Record 8
TbMgNpO6: relaxed, GGA-PBE.

Lattice parameters (Å, degrees): 5.3919 5.3919 9.7925 90.00 90.00 120.00
With the nearest neighbours (Å) after each atom.
Space group P-31c (No. 163)
One atom of each set of equivalent atoms:
Tb 0.0000 0.0000 0.0000 [2 per cell]  6 O 2.32
Mg 0.3333 0.6667 0.2500 [2 per cell]  6 O 2.11
Np 0.3333 0.6667 0.7500 [2 per cell]  6 O 2.03
O 0.0116 0.3565 0.6378 [12 per cell]  1 Np 2.03, 1 Mg 2.11

Calculated values
Density = 6.95 Mg/m³
Volume = 13.70 Å³/atom
Energy relative to the elements, uncorrected = -2.88 eV per atom

***

Record 9
MgScTcSn: relaxed, GGA-PBE.

Lattice parameters (Å, degrees): 3.0209 4.7354 5.5278 90.00 101.93 90.00
With the nearest neighbours (Å) after each atom.
Space group Pm (No. 6)
One atom of each set of equivalent atoms:
Mg 0.0000 0.0000 0.0000 [1 per cell]  4 Tc 2.86-3.13, 3 Sn 2.90-2.96, 2 Mg 3.02, 2 Sc 3.06
Sc 0.7645 0.5000 0.3009 [1 per cell]  2 Tc 2.74-3.00, 2 Sc 3.02, 2 Mg 3.06, 2 Sn 3.07
Tc 0.3408 0.5000 0.8123 [1 per cell]  2 Sc 2.74-3.00, 2 Sn 2.82, 2 Mg 2.86, 2 Tc 3.02
Sn 0.3426 0.0000 0.5362 [1 per cell]  2 Tc 2.82, 3 Mg 2.90-2.96, 2 Sn 3.02, 4 Sc 3.07-3.10

Calculated values
Energy of formation = -64 meV per atom
D(E_F) = 0.85 states/eV/atom
Density = 6.14 Mg/m³
Volume = 19.34 Å³/atom
ΔE to the lowest computed polymorph = 0.118 eV per atom

***

Record 10
Li2Pm3Cd7: relaxed, GGA-PBE.

Lattice parameters (Å, degrees): 4.8382 4.3646 14.2341 90.00 99.35 90.00
With the nearest neighbours (Å) after each atom.
Space group P2/m (No. 10)
One atom of each set of equivalent atoms:
Li 0.1308 0.0000 0.2679 [2 per cell]  5 Cd 2.56-2.83
Pm 0.0000 0.0000 0.0000 [1 per cell]  12 Cd 3.20-3.34
Pm 0.3253 0.5000 0.6489 [2 per cell]  10 Cd 3.42-3.56, 4 Li 3.45-3.48
Cd 0.0850 0.5000 0.1665 [2 per cell]  2 Li 2.61
Cd 0.2257 0.0000 0.4503 [2 per cell]  1 Li 2.56, 2 Cd 2.79-2.80
Cd 0.4202 0.0000 0.8366 [2 per cell]  2 Li 2.83
Cd 0.5000 0.5000 0.0000 [1 per cell]  8 Cd 3.17-3.38, 4 Pm 3.26

Calculated values
Energy of formation = -185 meV per atom
D(E_F) = 0.83 states/eV/atom
Density = 6.92 Mg/m³
Volume = 24.72 Å³/atom
ΔE to the lowest computed polymorph = 0.078 eV per atom

***

Record 11
Dy3Ho2Er6Sc: relaxed, GGA-PBE.

Lattice parameters (Å, degrees): 6.0621 10.4872 11.5940 90.00 100.00 90.00
With the nearest neighbours (Å) after each atom.
Space group C2/m (No. 12)
One atom of each set of equivalent atoms:
Dy 0.0000 0.0000 0.0000 [2 per cell]  6 Dy 3.50, 6 Er 3.52-3.53
Dy 0.0000 0.3335 0.0000 [4 per cell]  6 Dy 3.49-3.50, 6 Er 3.52-3.53
Ho 0.0000 0.1666 0.5000 [4 per cell]  6 Er 3.47, 3 Ho 3.49-3.50, 3 Sc 3.50
Er 0.2476 0.3344 0.7471 [8 per cell]  1 Sc 3.46, 6 Er 3.47-3.51, 2 Ho 3.47, 3 Dy 3.52-3.53
Er 0.2492 0.5000 0.2527 [4 per cell]  1 Sc 3.46, 2 Ho 3.47, 6 Er 3.48-3.51, 3 Dy 3.52-3.53
Sc 0.0000 0.5000 0.5000 [2 per cell]  6 Er 3.46, 6 Ho 3.50

Calculated values
Energy of formation = 29 meV per atom
D(E_F) = 1.41 states/eV/atom
Density = 8.54 Mg/m³
Volume = 30.25 Å³/atom

***

Record 12
Sc5AlIr6: relaxed, GGA-PBE.

Lattice parameters (Å, degrees): 4.5250 6.3509 13.5936 90.00 90.00 90.00
With the nearest neighbours (Å) after each atom.
Space group Immm (No. 71)
One atom of each set of equivalent atoms:
Sc 0.0000 0.0000 0.0000 [2 per cell]  8 Ir 2.75-2.78
Sc 0.0000 0.0000 0.3357 [4 per cell]  8 Ir 2.72-2.83
Sc 0.0000 0.5000 0.3331 [4 per cell]  8 Ir 2.78-2.79
Al 0.0000 0.5000 0.0000 [2 per cell]  8 Ir 2.73-2.75
Ir 0.0000 0.2449 0.5000 [4 per cell]  6 Sc 2.72-2.79, 2 Al 2.75
Ir 0.0000 0.2532 0.1643 [8 per cell]  1 Al 2.73, 7 Sc 2.75-2.83

Calculated values
Energy of formation = -994 meV per atom
D(E_F) = 0.19 states/eV/atom
Density = 11.94 Mg/m³
Volume = 16.28 Å³/atom